Entry from Alexandria: an optimized crystal structure of Rb2Mn2F7 (PBE+U).

a b c (Å): 6.1619 5.5371 5.5371
angles (deg): 76.43 93.30 93.30
Last column: magnetic moment on the atom in μB.
Fractional coordinates of all 11 atoms:
Mn: 0.0320 0.2403 0.2403  4.34
Mn: 0.9680 0.7597 0.7597  4.34
F: 0.1920 0.4364 0.4364  -0.01
F: 0.0000 0.0000 0.0000  -0.03
F: 0.7968 0.4954 0.0504  0.02
F: 0.8080 0.5636 0.5636  -0.01
F: 0.7968 0.0504 0.4954  0.02
F: 0.2032 0.9496 0.5046  0.02
F: 0.2032 0.5046 0.9496  0.02
Rb: 0.5000 0.2406 0.7594  0.00
Rb: 0.5000 0.7594 0.2406  0.00

Polymorph energy (0 for the lowest one): 92 meV per atom
Calculated volume: 183.2 Å³/cell
Total magnetic moment: 9.00 μB/cell
E_tot: -5.258 eV/atom
Space group: C2/m, No. 12